{"formula": "Rb3Co2Se4", "functional": "PBE-GGA", "state": "optimized geometry", "cell": [[6.997, -0.315, -0.362], [-0.569, 8.775, 2.430], [-0.600, 0.396, 9.095]], "species": ["Rb", "Se", "Rb", "Se", "Se", "Co", "Rb", "Se", "Rb", "Co", "Co", "Se", "Se", "Rb", "Se", "Rb", "Se", "Co"], "frac_coords": [[0.945, 0.735, 0.009], [0.636, 0.736, 0.641], [0.250, 0.584, 0.416], [0.471, 0.668, 0.073], [0.029, 0.927, 0.332], [0.547, 0.409, 0.153], [0.445, 0.009, 0.735], [0.364, 0.264, 0.359], [0.055, 0.265, 0.991], [0.453, 0.591, 0.847], [0.953, 0.847, 0.591], [0.864, 0.359, 0.264], [0.971, 0.073, 0.668], [0.555, 0.991, 0.265], [0.136, 0.641, 0.736], [0.750, 0.416, 0.584], [0.529, 0.332, 0.927], [0.047, 0.153, 0.409]], "m_tot_mub_per_fu": 4.2, "raw_formation_energy_mev_per_atom": -649, "rho_g_cm3": 4.18, "total_energy_ev_per_atom": -4.10}

---

{"formula": "RbCoSe2", "functional": "PBE-GGA", "state": "optimized geometry", "cell": [[5.375, -0.002, -1.072], [-2.009, 5.985, -3.101], [0.009, 0.069, 7.033]], "species": ["Rb", "Se", "Co", "Se", "Se", "Co", "Se", "Rb"], "frac_coords": [[0.750, 0.861, 0.139], [0.411, 0.206, 0.424], [0.250, 0.499, 0.501], [0.089, 0.576, 0.794], [0.911, 0.424, 0.206], [0.750, 0.501, 0.499], [0.589, 0.794, 0.576], [0.250, 0.139, 0.861]], "m_tot_mub_per_fu": 0.6, "raw_formation_energy_mev_per_atom": -586, "rho_g_cm3": 4.41, "total_energy_ev_per_atom": -4.35}

---

{"formula": "RbCo3Se", "functional": "PBE-GGA", "state": "optimized geometry", "cell": [[-2.221, 1.973, -3.517], [-2.517, -3.815, -0.551], [-3.151, 1.657, 2.920]], "species": ["Co", "Rb", "Co", "Se", "Co"], "frac_coords": [[0.000, 0.000, 0.500], [0.500, 0.500, 0.500], [0.000, 0.500, 0.000], [0.000, 0.000, 0.000], [0.500, 0.000, 0.000]], "m_tot_mub_per_fu": 4.0, "relative_energy_mev_per_atom": 0, "raw_formation_energy_mev_per_atom": 767, "rho_g_cm3": 5.81, "total_energy_ev_per_atom": -4.39}

---

{"formula": "Rb2Co2Se3", "functional": "PBE-GGA", "state": "optimized geometry", "cell": [[-1.202, -2.788, 2.604], [2.264, -7.912, -4.352], [10.490, -3.842, 3.800]], "species": ["Se", "Rb", "Co", "Se", "Co", "Se", "Se", "Rb", "Se", "Rb", "Co", "Se", "Rb", "Co"], "frac_coords": [[0.415, 0.716, 0.455], [0.418, 0.214, 0.951], [0.555, 0.513, 0.377], [0.086, 0.020, 0.807], [0.445, 0.487, 0.623], [0.914, 0.980, 0.193], [0.896, 0.474, 0.733], [0.258, 0.137, 0.347], [0.585, 0.284, 0.545], [0.582, 0.786, 0.049], [0.962, 0.736, 0.341], [0.104, 0.526, 0.267], [0.742, 0.863, 0.653], [0.038, 0.264, 0.659]], "m_tot_mub_per_fu": 0.4, "raw_formation_energy_mev_per_atom": -560, "rho_g_cm3": 4.35, "total_energy_ev_per_atom": -4.36}

---

{"formula": "Rb3CoSe3", "functional": "PBE-GGA", "state": "optimized geometry", "cell": [[-1.656, 5.320, 4.628], [-7.586, -0.786, -7.480], [-6.785, -8.913, 7.818]], "species": ["Se", "Co", "Se", "Rb", "Se", "Rb", "Se", "Se", "Rb", "Rb", "Co", "Rb", "Se", "Rb", "Co", "Rb", "Se", "Rb", "Rb", "Se", "Se", "Se", "Co", "Se", "Se", "Rb", "Rb", "Rb"], "frac_coords": [[0.191, 0.702, 0.612], [0.420, 0.839, 0.500], [0.989, 0.298, 0.888], [0.849, 0.000, 0.336], [0.691, 0.702, 0.888], [0.494, 0.649, 0.129], [0.696, 0.000, 0.582], [0.489, 0.298, 0.612], [0.155, 0.649, 0.871], [0.655, 0.649, 0.629], [0.920, 0.839, 0.000], [0.506, 0.351, 0.871], [0.809, 0.298, 0.388], [0.151, 0.000, 0.664], [0.580, 0.161, 0.500], [0.651, 0.000, 0.836], [0.309, 0.298, 0.112], [0.845, 0.351, 0.129], [0.345, 0.351, 0.371], [0.304, 0.000, 0.418], [0.196, 0.000, 0.918], [0.804, 0.000, 0.082], [0.080, 0.161, 0.000], [0.011, 0.702, 0.112], [0.511, 0.702, 0.388], [0.006, 0.351, 0.629], [0.349, 0.000, 0.164], [0.994, 0.649, 0.371]], "m_tot_mub_per_fu": 4.0, "raw_formation_energy_mev_per_atom": -795, "rho_g_cm3": 3.69, "total_energy_ev_per_atom": -3.72}

---

{"formula": "RbCoSe2", "functional": "PBE-GGA", "state": "optimized geometry", "cell": [[7.355, 0.000, 0.000], [0.000, 7.355, 0.000], [3.677, 3.677, 4.041]], "species": ["Rb", "Co", "Co", "Se", "Rb", "Se", "Se", "Se"], "frac_coords": [[0.000, 0.000, 0.000], [0.500, 0.500, 0.000], [0.250, 0.750, 0.500], [0.875, 0.744, 0.750], [0.750, 0.250, 0.500], [0.256, 0.625, 0.250], [0.494, 0.125, 0.250], [0.375, 0.506, 0.750]], "m_tot_mub_per_fu": 0.0, "raw_formation_energy_mev_per_atom": -537, "rho_g_cm3": 4.59, "total_energy_ev_per_atom": -4.30}

---

{"formula": "RbCoSe2", "functional": "PBE-GGA", "state": "optimized geometry", "cell": [[-3.226, -0.101, 3.926], [-0.357, 4.012, 3.099], [-4.175, 2.898, -0.066]], "species": ["Co", "Rb", "Se", "Se"], "frac_coords": [[0.000, 0.000, 0.000], [0.500, 0.500, 0.500], [0.250, 0.250, 0.250], [0.750, 0.750, 0.750]], "m_tot_mub_per_fu": 2.2, "raw_formation_energy_mev_per_atom": 320, "rho_g_cm3": 5.41, "total_energy_ev_per_atom": -3.44}

---

{"formula": "RbCo3Se", "functional": "PBE-GGA", "state": "optimized geometry", "cell": [[-0.266, -4.557, -1.112], [2.192, -1.105, 4.006], [-4.147, -0.292, 2.189]], "species": ["Co", "Co", "Rb", "Se", "Co"], "frac_coords": [[0.000, 0.000, 0.500], [0.000, 0.500, 0.000], [0.000, 0.000, 0.000], [0.500, 0.500, 0.500], [0.500, 0.000, 0.000]], "m_tot_mub_per_fu": 4.5, "relative_energy_mev_per_atom": 1651, "raw_formation_energy_mev_per_atom": 2418, "rho_g_cm3": 5.46, "total_energy_ev_per_atom": -2.74}

---

{"formula": "Rb2Co3Se4", "functional": "PBE-GGA", "state": "optimized geometry", "cell": [[5.813, 0.000, 1.387], [2.907, 5.208, 0.694], [-0.528, 0.000, 15.089]], "species": ["Se", "Se", "Co", "Rb", "Co", "Co", "Se", "Se", "Rb", "Se", "Rb", "Se", "Rb", "Co", "Se", "Co", "Co", "Se"], "frac_coords": [[0.533, 0.833, 0.607], [0.217, 0.667, 0.893], [0.000, 0.000, 0.000], [0.326, 0.500, 0.348], [0.750, 0.500, 0.500], [0.250, 0.000, 0.501], [0.860, 0.167, 0.607], [0.116, 0.667, 0.107], [0.424, 0.000, 0.152], [0.634, 0.833, 0.393], [0.174, 0.500, 0.652], [0.973, 0.167, 0.393], [0.576, 0.000, 0.848], [0.500, 0.500, 0.999], [0.777, 0.333, 0.107], [0.750, 0.000, 0.499], [0.000, 0.500, 0.001], [0.890, 0.333, 0.893]], "m_tot_mub_per_fu": 3.0, "raw_formation_energy_mev_per_atom": -547, "rho_g_cm3": 4.78, "total_energy_ev_per_atom": -4.68}

---

{"formula": "RbCoSe4", "functional": "PBE-GGA", "state": "optimized geometry", "cell": [[-3.132, -4.549, 1.582], [0.057, -2.524, -7.148], [6.684, -2.372, 4.910]], "species": ["Rb", "Se", "Co", "Se", "Rb", "Se", "Co", "Se", "Se", "Se", "Se", "Se"], "frac_coords": [[0.811, 0.821, 0.641], [0.294, 0.693, 0.386], [0.695, 0.463, 0.926], [0.000, 0.280, 0.000], [0.189, 0.179, 0.359], [0.383, 0.590, 0.815], [0.305, 0.537, 0.074], [0.000, 0.720, 0.000], [0.706, 0.307, 0.614], [0.617, 0.410, 0.185], [0.383, 0.225, 0.815], [0.617, 0.775, 0.185]], "m_tot_mub_per_fu": 0.0, "raw_formation_energy_mev_per_atom": -251, "rho_g_cm3": 4.54, "total_energy_ev_per_atom": -3.92}

---

{"formula": "Rb3CoSe", "functional": "PBE-GGA", "state": "optimized geometry", "cell": [[-2.820, 5.939, 0.505], [-5.241, -2.737, 2.919], [2.839, 0.847, 5.892]], "species": ["Rb", "Rb", "Se", "Rb", "Co"], "frac_coords": [[0.500, 0.000, 0.000], [0.000, 0.500, 0.000], [0.000, 0.000, 0.000], [0.000, 0.000, 0.500], [0.500, 0.500, 0.500]], "m_tot_mub_per_fu": 2.0, "relative_energy_mev_per_atom": 0, "raw_formation_energy_mev_per_atom": 82, "rho_g_cm3": 2.28, "total_energy_ev_per_atom": -2.62}

---

{"formula": "RbCoSe", "functional": "PBE-GGA", "state": "optimized geometry", "cell": [[-3.599, 0.723, 1.626], [-1.768, -1.885, -3.073], [0.582, -9.609, 5.561]], "species": ["Co", "Se", "Rb", "Se", "Co", "Rb"], "frac_coords": [[0.500, 0.500, 0.500], [0.000, 0.500, 0.383], [0.000, 0.500, 0.787], [0.500, 0.000, 0.617], [0.000, 0.000, 0.500], [0.500, 0.000, 0.213]], "m_tot_mub_per_fu": 1.4, "raw_formation_energy_mev_per_atom": -399, "rho_g_cm3": 4.14, "total_energy_ev_per_atom": -4.25}